A crystal of CoPtAu2 relaxed with PBEsol, computed with SCAN.

Structure (CIF):
```
data_CoPtAu2
_chemical_formula_sum 'Co1 Pt1 Au2'
_space_group_name_H-M_alt 'P 1'
_space_group_IT_number 1
_space_group_name_Hall 'P 1'
_cell_length_a 4.402
_cell_length_b 4.402
_cell_length_c 4.402
_cell_angle_alpha 60.00
_cell_angle_beta 60.00
_cell_angle_gamma 60.00
loop_
_atom_site_label
_atom_site_fract_x
_atom_site_fract_y
_atom_site_fract_z
_atom_site_occupancy
Pt1 0.500 0.500 0.500 1
Au1 0.250 0.250 0.250 1
Au2 0.750 0.750 0.750 1
Co1 0.000 0.000 0.000 1
```

Results
Its symmetry is No. 225. For the formation energy from the elements, the calculation gives 16.20 kJ/mol of atoms. The energy comes out at -56.2849 eV/atom. As for the energy above the most stable polymorph in this dataset: 183 meV per atom. Its spin magnetization is 2.20 μB per cell.